Record 1
Crystalline Be2HAuO at its relaxed geometry, computed with PBE-GGA.

Results
- Calculated total energy: -3.790 eV per atom
- Fermi-level density of states: 0.226 states/eV per atom
- Mass density: 7814 kg/m3

Lattice parameters (Å, degrees): 4.443 4.443 2.498 90.00 90.00 90.00
Space group P4/mmm (No. 123)
Inequivalent atoms, fractional coordinates:
Be 0.000 0.500 0.000
H 0.000 0.000 0.000
Au 0.500 0.500 0.500
O 0.000 0.000 0.500

Record 2
Crystalline Pm2SF2 at its relaxed geometry, computed with PBE-GGA.

Results
- Calculated total energy: -6.295 eV per atom
- Fermi-level density of states: 0.504 states/eV per atom
- Mass density: 6007 kg/m3

Lattice parameters (Å, degrees): 3.822 3.822 13.627 90.00 90.00 90.00
Space group P4/nmm (No. 129, origin choice 2)
Inequivalent atoms, fractional coordinates:
Pm 0.250 0.250 0.116
Pm 0.250 0.250 0.620
S 0.250 0.250 0.312
F 0.250 0.750 0.000
F 0.250 0.750 0.500

Record 3
Crystalline Mg3PdPb at its relaxed geometry, computed with PBE-GGA.

Results
- Calculated total energy: -2.902 eV per atom
- Fermi-level density of states: 0.460 states/eV per atom
- Mass density: 5090 kg/m3
- ΔE to the lowest computed polymorph: 165 meV/atom

Lattice parameters (Å, degrees): 5.015 5.015 5.015 90.00 90.00 90.00
Space group Pm-3m (No. 221)
Inequivalent atoms, fractional coordinates:
Mg 0.000 0.000 0.500
Pd 0.000 0.000 0.000
Pb 0.500 0.500 0.500